First-principles (PBE) data for a relaxed structure of K2TcHg, as listed in Alexandria.

The structure belongs to space group Immm (No. 71); the cell edges are 4.3803, 4.4031 and 11.2127 Å and the angles 90.00°, 90.00° and 90.00°. The inequivalent atoms are K at (0.0000, 0.0000, 0.2494), Tc at (0.0000, 0.5000, 0.5000) and Hg at (0.0000, 0.5000, 0.0000).

The value obtained for the volume is 108.13 Å³/f.u. As for the density of states at the Fermi level: 3.34 states/eV/f.u. The crystal system is orthorhombic. Its formation energy is 964 meV per atom.